# Rb2BaCdAg | Alexandria | PBE-GGA | optimized geometry
# E_form ... 0.18 eV per atom
# Total moment ... 0.0 Bohr magnetons per cell
# N(E_F) ... 1.12 states/eV/atom
# Mass density ... 3.5 Mg/m³
data_Rb2BaCdAg
_chemical_formula_sum 'Rb2 Ba1 Cd1 Ag1'
_space_group_name_H-M_alt 'P 4/m m m'
_space_group_IT_number 123
_space_group_name_Hall '-P 4 2'
_cell_length_a 6.730
_cell_length_b 6.730
_cell_length_c 5.585
_cell_angle_alpha 90.00
_cell_angle_beta 90.00
_cell_angle_gamma 90.00
loop_
_atom_site_label
_atom_site_type_symbol
_atom_site_fract_x
_atom_site_fract_y
_atom_site_fract_z
Rb1 Rb 0.000 0.500 0.000
Ba1 Ba 0.000 0.000 0.500
Cd1 Cd 0.500 0.500 0.500
Ag1 Ag 0.500 0.500 0.000

=====

# Ho2HgPd6 | Alexandria | PBE-GGA | optimized geometry
# E_form ... -0.53 eV per atom
# Total moment ... 0.0 Bohr magnetons per cell
# N(E_F) ... 0.47 states/eV/atom
# Mass density ... 11.4 Mg/m³
data_Ho2HgPd6
_chemical_formula_sum 'Ho4 Hg2 Pd12'
_space_group_name_H-M_alt 'C 1 2/m 1'
_space_group_IT_number 12
_cell_length_a 8.367
_cell_length_b 7.712
_cell_length_c 5.333
_cell_angle_alpha 90.00
_cell_angle_beta 98.87
_cell_angle_gamma 90.00
loop_
_space_group_symop_operation_xyz
'x,y,z'
'-x,-y,-z'
'-x,y,-z'
'x,-y,z'
'x+1/2,y+1/2,z'
'-x+1/2,-y+1/2,-z'
'-x+1/2,y+1/2,-z'
'x+1/2,-y+1/2,z'
loop_
_atom_site_label
_atom_site_type_symbol
_atom_site_fract_x
_atom_site_fract_y
_atom_site_fract_z
Ho1 Ho 0.193 0.000 0.130
Hg1 Hg 0.000 0.500 0.500
Pd1 Pd 0.000 0.321 0.000
Pd2 Pd 0.153 0.174 0.642

=====

# NdZrCu2 | Alexandria | PBE-GGA | optimized geometry
# E_form ... -0.04 eV per atom
# Total moment ... 0.0 Bohr magnetons per cell
# ΔE to the lowest computed polymorph ... 0.23 eV per formula unit
# N(E_F) ... 1.14 states/eV/atom
# Mass density ... 6.9 Mg/m³
data_NdZrCu2
_chemical_formula_sum 'Nd3 Zr3 Cu6'
_space_group_name_H-M_alt 'R -3 m'
_space_group_IT_number 166
_space_group_name_Hall '-R 3 2"'
_cell_length_a 4.5324
_cell_length_b 4.5324
_cell_length_c 14.7482
_cell_angle_alpha 90.00
_cell_angle_beta 90.00
_cell_angle_gamma 120.00
loop_
_atom_site_label
_atom_site_type_symbol
_atom_site_fract_x
_atom_site_fract_y
_atom_site_fract_z
Nd1 Nd 0.0000 0.0000 0.0000
Zr1 Zr 0.0000 0.0000 0.5000
Cu1 Cu 0.0000 0.0000 0.2027